## KNa6Sn (GGA-PBE)

Data for a geometry-optimized KNa6Sn structure.

Cell lengths 5.650, 8.935, 5.770 Å; angles 90.00, 90.00, 90.00 degrees
Space group Pmm2 (No. 25)
Inequivalent atoms, fractional coordinates:
K (0.000, 0.000, 0.000)
Na (0.000, 0.302, 0.502)
Na (0.000, 0.500, 0.038)
Na (0.500, 0.000, 0.472)
Na (0.500, 0.306, 0.921)
Sn (0.500, 0.500, 0.416)

Properties
For the density of states at the Fermi level, the calculation gives 0.418 states/eV per atom. The total DFT energy (no corrections) comes out at -1.6565 eV per atom. The calculation puts the total magnetization at 0.000 Bohr magnetons per cell. The energy of formation from the pure elements is -0.030 eV/atom. For the calculated density, the calculation gives 1.69 g cm⁻³.

=====

## K3NaSn8 (GGA-PBE)

Data for a geometry-optimized K3NaSn8 structure.

Cell lengths 6.5505, 6.5505, 30.6508 Å; angles 90.00, 90.00, 120.00 degrees
Space group R3m (No. 160, hexagonal axes)
Inequivalent atoms, fractional coordinates:
K (0.0000, 0.0000, 0.0000)
K (0.0000, 0.0000, 0.1244)
K (0.0000, 0.0000, 0.5004)
Na (0.0000, 0.0000, 0.6253)
Sn (0.0000, 0.0000, 0.3122)
Sn (0.0000, 0.0000, 0.8124)
Sn (0.0017, 0.5009, 0.5637)
Sn (0.1692, 0.3383, 0.3937)

Properties
For the density of states at the Fermi level, the calculation gives 1.006 states/eV per atom. The total DFT energy (no corrections) comes out at -3.2033 eV per atom. The calculation puts the total magnetization at 0.000 Bohr magnetons per cell. The energy of formation from the pure elements is -0.150 eV/atom. For the calculated density, the calculation gives 4.77 g cm⁻³.

=====

## KNa6Sn (GGA-PBE)

Data for a geometry-optimized KNa6Sn structure.

Cell lengths 7.8304, 7.8304, 21.2584 Å; angles 90.00, 90.00, 120.00 degrees
Space group R-3m (No. 166, hexagonal axes)
Inequivalent atoms, fractional coordinates:
K (0.0000, 0.0000, 0.0000)
Na (0.0245, 0.5122, 0.9169)
Sn (0.0000, 0.0000, 0.5000)

Properties
For the density of states at the Fermi level, the calculation gives 0.484 states/eV per atom. The total DFT energy (no corrections) comes out at -1.5395 eV per atom. The calculation puts the total magnetization at 0.000 Bohr magnetons per cell. The energy of formation from the pure elements is 0.087 eV/atom. For the calculated density, the calculation gives 1.31 g cm⁻³.

=====

## K2Na4Sn (GGA-PBE)

Data for a geometry-optimized K2Na4Sn structure.

Cell lengths 8.653, 6.782, 10.032 Å; angles 90.00, 94.69, 90.00 degrees
Space group P2_1/m (No. 11)
Inequivalent atoms, fractional coordinates:
K (0.069, 0.250, 0.400)
K (0.121, 0.750, 0.946)
Na (0.248, 0.750, 0.310)
Na (0.366, 0.250, 0.015)
Na (0.388, 0.001, 0.662)
Sn (0.113, 0.250, 0.766)

Properties
For the density of states at the Fermi level, the calculation gives 0.432 states/eV per atom. The total DFT energy (no corrections) comes out at -1.6914 eV per atom. The calculation puts the total magnetization at 0.000 Bohr magnetons per cell. The energy of formation from the pure elements is -0.052 eV/atom. For the calculated density, the calculation gives 1.64 g cm⁻³.

=====

## KNaSrSn (GGA-PBE)

Data for a geometry-optimized KNaSrSn structure.

Cell lengths 8.160, 8.160, 8.160 Å; angles 90.00, 90.00, 90.00 degrees
Space group F-43m (No. 216)
Inequivalent atoms, fractional coordinates:
K (0.000, 0.000, 0.000)
Na (0.250, 0.250, 0.250)
Sr (0.250, 0.250, 0.750)
Sn (0.000, 0.000, 0.500)

Properties
The total DFT energy (no corrections) comes out at -2.2964 eV per atom. The calculation puts the total magnetization at 0.000 Bohr magnetons per cell. The energy of formation from the pure elements is -0.271 eV/atom. For the calculated density, the calculation gives 3.28 g cm⁻³.

=====

## KNaSnTe2 (GGA-PBE)

Data for a geometry-optimized KNaSnTe2 structure.

Cell lengths 17.336, 4.958, 10.157 Å; angles 90.00, 94.73, 90.00 degrees
Space group C2/m (No. 12)
Inequivalent atoms, fractional coordinates:
K (0.185, 0.000, 0.176)
Na (0.194, 0.000, 0.558)
Sn (0.065, 0.500, 0.700)
Te (0.123, 0.500, 0.428)
Te (0.150, 0.000, 0.835)

Properties
The formation energy (no corrections) is -0.630 eV per atom. The total DFT energy (no corrections) comes out at -3.1707 eV per atom. The calculation puts the total magnetization at 0.000 Bohr magnetons per cell. For the calculated density, the calculation gives 3.33 g cm⁻³.

=====

## KNaTlSn2 (GGA-PBE)

Data for a geometry-optimized KNaTlSn2 structure.

Cell lengths 5.872, 5.872, 6.270 Å; angles 90.00, 90.00, 90.00 degrees
Space group P4/mmm (No. 123)
Inequivalent atoms, fractional coordinates:
K (0.000, 0.000, 0.000)
Na (0.500, 0.500, 0.000)
Tl (0.000, 0.000, 0.500)
Sn (0.000, 0.500, 0.500)

Properties
For the density of states at the Fermi level, the calculation gives 0.773 states/eV per atom. The total DFT energy (no corrections) comes out at -2.2789 eV per atom. The calculation puts the total magnetization at 0.000 Bohr magnetons per cell. The energy of formation from the pure elements is 0.279 eV/atom. For the calculated density, the calculation gives 3.87 g cm⁻³.

=====

## KNaTlSn2 (GGA-PBE)

Data for a geometry-optimized KNaTlSn2 structure.

Cell lengths 4.567, 5.375, 13.634 Å; angles 90.00, 90.00, 90.00 degrees
Space group Imm2 (No. 44)
Inequivalent atoms, fractional coordinates:
K (0.000, 0.000, 0.000)
Na (0.000, 0.500, 0.736)
Tl (0.000, 0.000, 0.395)
Sn (0.000, 0.000, 0.618)
Sn (0.000, 0.500, 0.255)

Properties
For the density of states at the Fermi level, the calculation gives 0.517 states/eV per atom. The total DFT energy (no corrections) comes out at -2.7007 eV per atom. The calculation puts the total magnetization at 0.000 Bohr magnetons per cell. The energy of formation from the pure elements is -0.143 eV/atom. For the calculated density, the calculation gives 5.00 g cm⁻³.